Record 1
Tm6GeSe3S2 after structural relaxation, computed with GGA-PBE.

The density of states at the Fermi level is 4.669 states/eV/f.u. The calculation puts the formation energy from raw total energies at -1.68 eV per atom. As for the calculated density: 8588 kg/m³.

The structure belongs to space group C2/m (No. 12); the cell edges are 6.8506, 11.8536 and 6.9872 Å and the angles 90.00°, 109.00° and 90.00°. Symmetry generates all atoms from Tm at (0.2413, 0.0000, 0.2298), Tm at (0.2438, 0.3322, 0.2293), Ge at (0.0000, 0.5000, 0.0000), Se at (0.0000, 0.0000, 0.5000), Se at (0.0000, 0.3333, 0.5000) and S at (0.0000, 0.1666, 0.0000).

Record 2
U6GeSe3S2 after structural relaxation, computed with GGA-PBE.

The density of states at the Fermi level is 25.752 states/eV/f.u. The calculation puts the formation energy from raw total energies at -0.97 eV per atom. As for the calculated density: 10969 kg/m³.

The structure belongs to space group C2/m (No. 12); the cell edges are 6.7034, 11.6297 and 7.3488 Å and the angles 90.00°, 107.79° and 90.00°. Symmetry generates all atoms from U at (0.2338, 0.0000, 0.2367), U at (0.2478, 0.1723, 0.7605), Ge at (0.0000, 0.5000, 0.0000), Se at (0.0000, 0.0000, 0.5000), Se at (0.0000, 0.3389, 0.5000) and S at (0.0000, 0.1675, 0.0000).

Record 3
V2GeSeS after structural relaxation, computed with GGA-PBE.

The density of states at the Fermi level is 5.593 states/eV/f.u. The calculation puts the formation energy from raw total energies at 0.52 eV per atom. As for the calculated density: 4590 kg/m³.

The structure belongs to space group P4/mmm (No. 123); the cell edges are 4.4701, 4.4701 and 5.1700 Å and the angles 90.00°, 90.00° and 90.00°. Symmetry generates all atoms from V at (0.0000, 0.5000, 0.0000), Ge at (0.0000, 0.0000, 0.5000), Se at (0.5000, 0.5000, 0.5000) and S at (0.5000, 0.5000, 0.0000).

Record 4
Y8GeSe3S4 after structural relaxation, computed with GGA-PBE.

The density of states at the Fermi level is 5.951 states/eV/f.u. The calculation puts the formation energy from raw total energies at -1.81 eV per atom. As for the calculated density: 5196 kg/m³.

The structure belongs to space group R-3m (No. 166, hexagonal axes); the cell edges are 8.0274, 8.0274 and 19.7387 Å and the angles 90.00°, 90.00° and 120.00°. Symmetry generates all atoms from Y at (0.0000, 0.0000, 0.2417), Y at (0.0103, 0.5051, 0.7543), Ge at (0.0000, 0.0000, 0.0000), Se at (0.0000, 0.5000, 0.0000), S at (0.0000, 0.0000, 0.5000) and S at (0.0000, 0.5000, 0.5000).

Record 5
Y4GeSe2S after structural relaxation, computed with GGA-PBE.

The density of states at the Fermi level is 2.778 states/eV/f.u. The calculation puts the formation energy from raw total energies at -1.68 eV per atom. As for the calculated density: 5355 kg/m³.

The structure belongs to space group P2/m (No. 10); the cell edges are 7.0139, 4.0689 and 7.1229 Å and the angles 90.00°, 109.41° and 90.00°. Symmetry generates all atoms from Y at (0.2444, 0.0000, 0.2318), Y at (0.2554, 0.5000, 0.7642), Ge at (0.5000, 0.0000, 0.0000), Se at (0.0000, 0.0000, 0.5000), Se at (0.5000, 0.5000, 0.5000) and S at (0.0000, 0.5000, 0.0000).

Record 6
Y8Ge3Se3S after structural relaxation, computed with GGA-PBE.

The density of states at the Fermi level is 6.510 states/eV/f.u. The calculation puts the formation energy from raw total energies at -1.38 eV per atom. As for the calculated density: 5145 kg/m³.

The structure belongs to space group R-3m (No. 166, hexagonal axes); the cell edges are 8.1880, 8.1880 and 19.9805 Å and the angles 90.00°, 90.00° and 120.00°. Symmetry generates all atoms from Y at (0.0000, 0.0000, 0.2466), Y at (0.0021, 0.5010, 0.7537), Ge at (0.0000, 0.5000, 0.5000), Se at (0.0000, 0.5000, 0.0000) and S at (0.0000, 0.0000, 0.5000).

Record 7
Y4Ge2SeS after structural relaxation, computed with GGA-PBE.

The density of states at the Fermi level is 2.135 states/eV/f.u. The calculation puts the formation energy from raw total energies at -1.44 eV per atom. As for the calculated density: 5198 kg/m³.

The structure belongs to space group P2/m (No. 10); the cell edges are 7.0924, 4.0974 and 7.1290 Å and the angles 90.00°, 109.34° and 90.00°. Symmetry generates all atoms from Y at (0.2428, 0.0000, 0.2412), Y at (0.2482, 0.5000, 0.7558), Ge at (0.0000, 0.5000, 0.0000), Ge at (0.5000, 0.0000, 0.0000), Se at (0.5000, 0.5000, 0.5000) and S at (0.0000, 0.0000, 0.5000).

Record 8
Y4GeSeS2 after structural relaxation, computed with GGA-PBE.

The density of states at the Fermi level is 2.755 states/eV/f.u. The calculation puts the formation energy from raw total energies at -1.72 eV per atom. As for the calculated density: 5117 kg/m³.

The structure belongs to space group P2/m (No. 10); the cell edges are 6.9519, 4.0323 and 7.0178 Å and the angles 90.00°, 109.53° and 90.00°. Symmetry generates all atoms from Y at (0.2406, 0.0000, 0.2367), Y at (0.2475, 0.5000, 0.7556), Ge at (0.5000, 0.0000, 0.0000), Se at (0.5000, 0.5000, 0.5000), S at (0.0000, 0.0000, 0.5000) and S at (0.0000, 0.5000, 0.0000).

Record 9
YGeSe2S after structural relaxation, computed with GGA-PBE.

The density of states at the Fermi level is 3.479 states/eV/f.u. The calculation puts the formation energy from raw total energies at -0.03 eV per atom. As for the calculated density: 4649 kg/m³.

The structure belongs to space group P4/mmm (No. 123); the cell edges are 4.8999, 4.8999 and 5.2296 Å and the angles 90.00°, 90.00° and 90.00°. Symmetry generates all atoms from Y at (0.0000, 0.0000, 0.0000), Ge at (0.5000, 0.5000, 0.0000), Se at (0.0000, 0.5000, 0.5000) and S at (0.0000, 0.0000, 0.5000).

Record 10
Y6GeSe3S2 after structural relaxation, computed with GGA-PBE.

The density of states at the Fermi level is 5.096 states/eV/f.u. The calculation puts the formation energy from raw total energies at -1.76 eV per atom. As for the calculated density: 5330 kg/m³.

The structure belongs to space group C2/m (No. 12); the cell edges are 6.9738, 12.0702 and 7.1033 Å and the angles 90.00°, 109.05° and 90.00°. Symmetry generates all atoms from Y at (0.2420, 0.0000, 0.2312), Y at (0.2443, 0.3324, 0.2312), Ge at (0.0000, 0.5000, 0.0000), Se at (0.0000, 0.0000, 0.5000), Se at (0.0000, 0.3336, 0.5000) and S at (0.0000, 0.1667, 0.0000).

Record 11
Y6Ge3Se2S after structural relaxation, computed with GGA-PBE.

The density of states at the Fermi level is 2.892 states/eV/f.u. The calculation puts the formation energy from raw total energies at -1.43 eV per atom. As for the calculated density: 5281 kg/m³.

The structure belongs to space group C2/m (No. 12); the cell edges are 17.9626, 4.1121 and 8.2509 Å and the angles 90.00°, 103.77° and 90.00°. Symmetry generates all atoms from Y at (0.0031, 0.0000, 0.2496), Y at (0.1639, 0.5000, 0.0906), Y at (0.1663, 0.5000, 0.5753), Ge at (0.0000, 0.5000, 0.0000), Ge at (0.1675, 0.0000, 0.3346), Se at (0.1661, 0.0000, 0.8330) and S at (0.0000, 0.5000, 0.5000).

Record 12
Y6GeSe2S3 after structural relaxation, computed with GGA-PBE.

The density of states at the Fermi level is 5.567 states/eV/f.u. The calculation puts the formation energy from raw total energies at -1.79 eV per atom. As for the calculated density: 5172 kg/m³.

The structure belongs to space group C2/m (No. 12); the cell edges are 6.9717, 12.0646 and 6.9650 Å and the angles 90.00°, 109.46° and 90.00°. Symmetry generates all atoms from Y at (0.2359, 0.0000, 0.2385), Y at (0.2485, 0.1617, 0.7623), Ge at (0.0000, 0.0000, 0.5000), Se at (0.0000, 0.3334, 0.5000), S at (0.0000, 0.1694, 0.0000) and S at (0.0000, 0.5000, 0.0000).

Record 13
SiGe2S after structural relaxation, computed with GGA-PBE.

The density of states at the Fermi level is 2.208 states/eV/f.u. The calculation puts the formation energy from raw total energies at 0.46 eV per atom. As for the calculated density: 4886 kg/m³. For the energy above the most stable polymorph in this dataset, the calculation gives 0.739 eV per formula unit.

The structure belongs to space group Fm-3m (No. 225); the cell edges are 6.5364, 6.5364 and 6.5364 Å and the angles 90.00°, 90.00° and 90.00°. Symmetry generates all atoms from Si at (0.0000, 0.0000, 0.0000), Ge at (0.2500, 0.2500, 0.2500) and S at (0.0000, 0.0000, 0.5000).

Record 14
SiGe2S8 after structural relaxation, computed with GGA-PBE.

The density of states at the Fermi level is 2.706 states/eV/f.u. The calculation puts the formation energy from raw total energies at -0.09 eV per atom. As for the calculated density: 2488 kg/m³.

The structure belongs to space group C2/m (No. 12); the cell edges are 10.6968, 11.1758 and 4.9569 Å and the angles 90.00°, 104.44° and 90.00°. Symmetry generates all atoms from Si at (0.0000, 0.0000, 0.0000), Ge at (0.2326, 0.0000, 0.6980), S at (0.0368, 0.5000, 0.2082), S at (0.0577, 0.1545, 0.7018) and S at (0.2097, 0.0000, 0.2071).

Record 15
SiGe2S after structural relaxation, computed with GGA-PBE.

The density of states at the Fermi level is 3.055 states/eV/f.u. The calculation puts the formation energy from raw total energies at 0.27 eV per atom. As for the calculated density: 3632 kg/m³. For the energy above the most stable polymorph in this dataset, the calculation gives 0.000 eV per formula unit.

The structure belongs to space group I-42d (No. 122); the cell edges are 5.4349, 5.4349 and 12.7177 Å and the angles 90.00°, 90.00° and 90.00°. Symmetry generates all atoms from Si at (0.0000, 0.0000, 0.0000), Ge at (0.2418, 0.2500, 0.1250) and S at (0.0000, 0.0000, 0.5000).

Record 16
Si3GeS after structural relaxation, computed with GGA-PBE.

The density of states at the Fermi level is 1.406 states/eV/f.u. The calculation puts the formation energy from raw total energies at 0.86 eV per atom. As for the calculated density: 3198 kg/m³. For the energy above the most stable polymorph in this dataset, the calculation gives 0.000 eV per formula unit.

The structure belongs to space group Pm-3m (No. 221); the cell edges are 4.6124, 4.6124 and 4.6124 Å and the angles 90.00°, 90.00° and 90.00°. Symmetry generates all atoms from Si at (0.0000, 0.0000, 0.5000), Ge at (0.5000, 0.5000, 0.5000) and S at (0.0000, 0.0000, 0.0000).

Record 17
Si3GeS after structural relaxation, computed with GGA-PBE.

The density of states at the Fermi level is 3.106 states/eV/f.u. The calculation puts the formation energy from raw total energies at 1.17 eV per atom. As for the calculated density: 2851 kg/m³. For the energy above the most stable polymorph in this dataset, the calculation gives 1.562 eV per formula unit.

The structure belongs to space group Pm-3m (No. 221); the cell edges are 4.7921, 4.7921 and 4.7921 Å and the angles 90.00°, 90.00° and 90.00°. Symmetry generates all atoms from Si at (0.0000, 0.0000, 0.5000), Ge at (0.0000, 0.0000, 0.0000) and S at (0.5000, 0.5000, 0.5000).

Record 18
SiGe4S6 after structural relaxation, computed with GGA-PBE.

The density of states at the Fermi level is 0.000 states/eV/f.u. The calculation puts the formation energy from raw total energies at -0.29 eV per atom. As for the calculated density: 2916 kg/m³.

The structure belongs to space group Cc (No. 9); the cell edges are 14.7460, 6.7108 and 12.5317 Å and the angles 90.00°, 110.16° and 90.00°. Symmetry generates all atoms from Si at (0.0000, 0.2309, 0.0000), Ge at (0.0538, 0.1044, 0.7778), Ge at (0.1703, 0.4476, 0.2013), Ge at (0.2214, 0.1126, 0.5042), Ge at (0.4250, 0.2319, 0.9296), S at (0.0656, 0.2226, 0.3747), S at (0.1523, 0.2337, 0.0246), S at (0.2356, 0.2524, 0.6775), S at (0.4164, 0.2682, 0.3254), S at (0.4436, 0.4972, 0.0769) and S at (0.4901, 0.0030, 0.5919).

Record 19
Si2GeS6 after structural relaxation, computed with GGA-PBE.

The density of states at the Fermi level is 0.000 states/eV/f.u. The calculation puts the formation energy from raw total energies at -0.48 eV per atom. As for the calculated density: 2500 kg/m³.

The structure belongs to space group C2/c (No. 15); the cell edges are 12.5388, 12.9129 and 5.9026 Å and the angles 90.00°, 116.75° and 90.00°. Symmetry generates all atoms from Si at (0.2230, 0.0804, 0.3563), Ge at (0.0000, 0.2859, 0.2500), S at (0.0973, 0.3955, 0.5813), S at (0.1206, 0.2065, 0.1172) and S at (0.1734, 0.0668, 0.6586).

Record 20
Sm6SiGe2S3 after structural relaxation, computed with GGA-PBE.

The density of states at the Fermi level is 3.636 states/eV/f.u. The calculation puts the formation energy from raw total energies at -1.43 eV per atom. As for the calculated density: 6468 kg/m³.

The structure belongs to space group C2/m (No. 12); the cell edges are 18.0587, 4.1378 and 8.2911 Å and the angles 90.00°, 103.82° and 90.00°. Symmetry generates all atoms from Sm at (0.0007, 0.0000, 0.2515), Sm at (0.1659, 0.5000, 0.0838), Sm at (0.1664, 0.5000, 0.5821), Si at (0.0000, 0.5000, 0.5000), Ge at (0.1667, 0.0000, 0.8333), S at (0.0000, 0.5000, 0.0000) and S at (0.1667, 0.0000, 0.3334).